An optimized crystal structure of Li8Ag2Pb, computed with GGA-PBE.

Cell: 8.004 8.004 5.328 Å, 90.31 90.31 34.39°
Sites, in units of the cell vectors:
Li1 0.049 0.049 0.259
Li2 0.137 0.137 0.822
Li3 0.314 0.314 0.906
Li4 0.405 0.405 0.471
Li5 0.595 0.595 0.529
Li6 0.686 0.686 0.094
Li7 0.863 0.863 0.178
Li8 0.951 0.951 0.741
Ag1 0.226 0.226 0.362
Ag2 0.774 0.774 0.638
Pb1 0.500 0.500 0.000

## Properties
* theoretical density: 4.12 g/cm3
* ΔE to the lowest computed polymorph: 0.00 eV/f.u.
* ΔH_f (0 K): -0.209 eV/atom
* E_tot: -2.456 eV/atom